A relaxed Ga2ReI crystal. Source: the Alexandria database, functional PBE-GGA.

- density (Mg/m³) = 6.1
- polymorph energy (0 for the lowest one) (meV per atom) = 0
- ΔE_f (raw) (kJ/mol of atoms) = 83.8
- space group = No. 122

Geometry as POSCAR:
```
Ga2ReI
1.0
-0.985 -4.795 -4.061
-3.688 -2.887 4.303
-7.228 -0.937 -2.122
I Re Ga
2 2 4
direct
0.500 0.500 0.000
0.250 0.750 0.500
0.000 0.000 0.000
0.750 0.250 0.500
0.711 0.125 0.250
0.039 0.625 0.250
0.375 0.289 0.750
0.875 0.961 0.750
```

A relaxed Th7Ir2Pb2 crystal. Source: the Alexandria database, functional PBE-GGA.

- density (Mg/m³) = 11.7
- energy of formation from the pure elements (eV per atom) = -0.280
- space group = No. 65

Geometry as POSCAR:
```
Th7Ir2Pb2
1.0
7.109 -0.002 -0.719
0.004 6.997 0.002
-1.160 -0.003 7.050
Th Ir Pb
7 2 2
direct
0.000 0.260 0.500
0.500 0.740 0.000
0.000 0.740 0.500
0.500 0.260 0.000
0.000 0.000 0.000
0.500 0.761 0.500
0.500 0.239 0.500
0.737 0.000 0.263
0.263 0.000 0.737
0.825 0.500 0.825
0.175 0.500 0.175
```

A relaxed GeBPd3 crystal. Source: the Alexandria database, functional PBE-GGA.

- density (Mg/m³) = 6.7
- polymorph energy (0 for the lowest one) (meV per atom) = 1215
- energy of formation from the pure elements (eV per atom) = 1.148
- space group = No. 221

Geometry as POSCAR:
```
GeBPd3
1.0
-1.116 4.400 0.921
-2.164 0.306 -4.084
-3.941 -1.415 1.982
Ge B Pd
1 1 3
direct
0.000 0.000 0.000
0.500 0.500 0.500
0.000 0.500 0.000
0.000 0.000 0.500
0.500 0.000 0.000
```

A relaxed KSnB3 crystal. Source: the Alexandria database, functional PBE-GGA.

- density (Mg/m³) = 2.7
- polymorph energy (0 for the lowest one) (meV per atom) = 1160
- energy of formation from the pure elements (eV per atom) = 3.029
- space group = No. 221

Geometry as POSCAR:
```
KSnB3
1.0
-0.263 -0.927 4.787
-1.483 -4.552 -0.963
4.645 -1.506 -0.037
K B Sn
1 3 1
direct
0.000 0.000 0.000
0.000 0.500 0.000
0.000 0.000 0.500
0.500 0.000 0.000
0.500 0.500 0.500
```

A relaxed AcCu3P2 crystal. Source: the Alexandria database, functional PBE-GGA.

- density (Mg/m³) = 7.6
- energy of formation from the pure elements (eV per atom) = -0.570
- space group = No. 12

Geometry as POSCAR:
```
AcCu3P2
1.0
4.012 0.000 0.000
-2.006 7.555 0.074
0.000 -3.340 6.852
Ac Cu P
2 6 4
direct
0.864 0.727 0.955
0.136 0.273 0.045
0.310 0.620 0.561
0.939 0.878 0.595
0.600 0.201 0.651
0.400 0.799 0.349
0.061 0.122 0.405
0.690 0.380 0.439
0.481 0.962 0.768
0.519 0.038 0.232
0.798 0.596 0.297
0.202 0.404 0.703
```

A relaxed Cs2BePd crystal. Source: the Alexandria database, functional PBE-GGA.

- density (Mg/m³) = 3.3
- polymorph energy (0 for the lowest one) (meV per atom) = 0
- energy of formation from the pure elements (eV per atom) = 0.241
- space group = No. 122

Geometry as POSCAR:
```
Cs2BePd
1.0
-0.636 1.859 13.051
-13.148 0.860 -0.764
-7.053 -0.829 6.448
Cs Be Pd
4 2 2
direct
0.814 0.125 0.250
0.936 0.625 0.250
0.375 0.186 0.750
0.875 0.064 0.750
0.500 0.500 0.000
0.250 0.750 0.500
0.000 0.000 0.000
0.750 0.250 0.500
```